4
Lattice="2.320 1.340 8.930 -2.320 1.340 8.930 0.000 -2.679 8.930" Properties=species:S:1:pos:R:3 comment="RbCdCl2 PBE-GGA optimized geometry" formation_energy_uncorrected_ev_per_atom=-1.07 final_energy_ev_per_atom=-2.47 spacegroup="No. 166" pbc="T T T"
Rb 0.000 0.000 0.000
Cd 0.000 0.000 13.394
Cl 0.000 0.000 10.804
Cl 0.000 0.000 15.985